A relaxed structure of Tb2PaMoC4, computed with PBE.

The calculation puts the formation energy at -0.0161 eV per atom. The calculation puts the density at 9.02 Mg/m³. For the calculated total energy, the calculation gives -133.22 eV/cell.

a = 6.194 Å, b = 6.194 Å, c = 12.387 Å
α = 90.00°, β = 90.00°, γ = 147.52°
Element x y z (fractional)
Tb  0.131  0.869  0.538
Tb  0.131  0.869  0.962
Tb  0.869  0.131  0.038
Tb  0.869  0.131  0.462
Pa  0.396  0.604  0.750
Pa  0.604  0.396  0.250
Mo  0.340  0.660  0.250
Mo  0.660  0.340  0.750
C  0.053  0.947  0.750
C  0.229  0.771  0.136
C  0.229  0.771  0.364
C  0.500  0.500  0.000
C  0.500  0.500  0.500
C  0.771  0.229  0.636
C  0.771  0.229  0.864
C  0.947  0.053  0.250


A relaxed structure of ThPaMoC3, computed with PBE.

The calculation puts the formation energy at -0.0534 eV per atom. The calculation puts the density at 9.10 Mg/m³. For the calculated total energy, the calculation gives -111.48 eV/cell.

a = 7.428 Å, b = 3.664 Å, c = 8.016 Å
α = 90.00°, β = 95.81°, γ = 90.00°
Element x y z (fractional)
Th  0.159  0.250  0.165
Th  0.841  0.750  0.835
Pa  0.367  0.750  0.834
Pa  0.633  0.250  0.166
Mo  0.099  0.250  0.598
Mo  0.901  0.750  0.402
C  0.125  0.250  0.853
C  0.169  0.750  0.516
C  0.408  0.750  0.123
C  0.592  0.250  0.877
C  0.831  0.250  0.484
C  0.875  0.750  0.147


Which formula does entry 1 have?
Tb2PaMoC4